The following is a DFT calculation (PBEsol) of a relaxed structure of RbBeCo2.

The structure in POSCAR format:
```
RbBeCo2
1.0
4.2741 0.0000 0.0000
2.1370 3.7015 0.0000
2.1370 1.2338 3.4898
Be Co Rb
1 2 1
Direct
0.0000 0.0000 0.0000
0.7500 0.7500 0.7500
0.2500 0.2500 0.2500
0.5000 0.5000 0.5000
```

## Properties
The value obtained for the calculated total energy is -3.535 eV per atom. Its space group is Fm-3m, No. 225. The density of states at the Fermi level is 5.17 states/eV per cell. The value obtained for the formation energy is 1.59 eV/atom. Its theoretical density is 6.387 g cm⁻³. The value obtained for the total magnetization is 0.997 Bohr magnetons per cell.

---

The following is a DFT calculation (PBEsol) of a relaxed structure of RbBe3Co.

The structure in POSCAR format:
```
RbBe3Co
1.0
-0.0012 -3.3553 2.7213
3.9069 1.1606 1.4328
-1.8439 2.4614 3.0340
Co Be Rb
1 3 1
Direct
0.0000 0.0000 0.0000
0.5000 0.0000 0.0000
0.0000 0.0000 0.5000
0.0000 0.5000 0.0000
0.5000 0.5000 0.5000
```

## Properties
The value obtained for the calculated total energy is -3.393 eV per atom. Its space group is Pm-3m, No. 221. The density of states at the Fermi level is 2.05 states/eV per cell. The value obtained for the formation energy is 0.76 eV/atom. Its theoretical density is 3.531 g cm⁻³. The value obtained for the total magnetization is 0.001 Bohr magnetons per cell.

---

- What is the formula in the first record?
  RbBeCo2

---

What did the second record say?
The following is a DFT calculation (PBEsol) of a relaxed structure of RbBe3Co.

The structure in POSCAR format:
```
RbBe3Co
1.0
-0.0012 -3.3553 2.7213
3.9069 1.1606 1.4328
-1.8439 2.4614 3.0340
Co Be Rb
1 3 1
Direct
0.0000 0.0000 0.0000
0.5000 0.0000 0.0000
0.0000 0.0000 0.5000
0.0000 0.5000 0.0000
0.5000 0.5000 0.5000
```

## Properties
The value obtained for the calculated total energy is -3.393 eV per atom. Its space group is Pm-3m, No. 221. The density of states at the Fermi level is 2.05 states/eV per cell. The value obtained for the formation energy is 0.76 eV/atom. Its theoretical density is 3.531 g cm⁻³. The value obtained for the total magnetization is 0.001 Bohr magnetons per cell.

---

- The highest calculated total energy belongs to which entry?
  RbBe3Co

---

- calculated total energy of number 1 (RbBeCo2)?
  -3.535 eV per atom